# 1
Density functional theory data (GGA-PBE) for LiSb after structural relaxation.

Results
ρ: 4.87 Mg/m³
DFT total energy: -3.3846 eV per atom
M_tot: 0.00 μB per atom

Lattice parameters (Å, degrees): 3.3322 3.3322 13.6841 90.00 90.00 120.00
Closest atoms and distances in Å follow each position.
Space group R-3m (No. 166, hexagonal axes)
Symmetry-distinct sites (fractional):
Li 0.0000 0.0000 0.0000 [3 per cell]  6 Sb 2.98, 6 Li 3.33
Sb 0.0000 0.0000 0.5000 [3 per cell]  6 Li 2.98, 6 Sb 3.33

***

# 2
Density functional theory data (GGA-PBE) for LiSb6 after structural relaxation.

Results
ρ: 4.05 Mg/m³
DFT total energy: -3.4645 eV per atom
M_tot: 0.00 μB per atom

Lattice parameters (Å, degrees): 8.4590 8.4590 8.4590 90.00 90.00 90.00
Closest atoms and distances in Å follow each position.
Space group Im-3m (No. 229)
Symmetry-distinct sites (fractional):
Li 0.0000 0.0000 0.0000 [2 per cell]  24 Sb 4.73
Sb 0.0000 0.2500 0.5000 [12 per cell]  4 Sb 2.99

***

# 3
Density functional theory data (GGA-PBE) for LiSb after structural relaxation.

Results
ρ: 4.09 Mg/m³
DFT total energy: -3.2441 eV per atom
M_tot: 0.00 μB per atom

Lattice parameters (Å, degrees): 4.4532 4.4532 18.2438 90.00 90.00 120.00
Closest atoms and distances in Å follow each position.
Space group R-3m (No. 166, hexagonal axes)
Symmetry-distinct sites (fractional):
Li 0.0000 0.0000 0.1667 [6 per cell]  3 Li 2.57
Sb 0.0000 0.0000 0.4228 [6 per cell]  1 Sb 2.82, 6 Li 2.93

***

# 4
Density functional theory data (GGA-PBE) for LiSb after structural relaxation.

Results
ρ: 4.62 Mg/m³
DFT total energy: -3.2336 eV per atom
M_tot: 0.00 μB per atom

Lattice parameters (Å, degrees): 8.1401 8.6992 10.4491 90.00 90.00 90.00
Closest atoms and distances in Å follow each position.
Space group Fddd (No. 70, origin choice 2)
Symmetry-distinct sites (fractional):
Li 0.0574 0.3750 0.3750 [16 per cell]  4 Sb 2.76-2.97, 1 Li 2.97
Sb 0.1250 0.2934 0.6250 [16 per cell]  4 Li 2.76-2.97, 1 Sb 2.93

***

# 5
Density functional theory data (GGA-PBE) for LiSb after structural relaxation.

Results
ρ: 4.06 Mg/m³
DFT total energy: -3.0181 eV per atom
M_tot: 0.00 μB per atom

Lattice parameters (Å, degrees): 4.7699 4.7699 5.3446 90.00 90.00 120.00
Closest atoms and distances in Å follow each position.
Space group P6_3/mmc (No. 194)
Symmetry-distinct sites (fractional):
Li 0.3333 0.6667 0.2500 [2 per cell]  5 Sb 2.67-2.75
Sb 0.3333 0.6667 0.7500 [2 per cell]  5 Li 2.67-2.75

***

# 6
Density functional theory data (GGA-PBE) for LiSb after structural relaxation.

Results
ρ: 4.81 Mg/m³
DFT total energy: -3.0683 eV per atom
M_tot: 0.00 μB per atom

Lattice parameters (Å, degrees): 5.6221 5.6221 5.6221 90.00 90.00 90.00
Closest atoms and distances in Å follow each position.
Space group Fm-3m (No. 225)
Symmetry-distinct sites (fractional):
Li 0.0000 0.0000 0.0000 [4 per cell]  6 Sb 2.81
Sb 0.0000 0.0000 0.5000 [4 per cell]  6 Li 2.81

***

# 7
Density functional theory data (GGA-PBE) for LiSb after structural relaxation.

Results
ρ: 4.90 Mg/m³
DFT total energy: -3.3475 eV per atom
M_tot: 0.00 μB per atom

Lattice parameters (Å, degrees): 4.2019 4.2019 9.8720 90.00 90.00 90.00
Closest atoms and distances in Å follow each position.
Space group I4_1/amd (No. 141, origin choice 2)
Symmetry-distinct sites (fractional):
Li 0.0000 0.2500 0.3750 [4 per cell]  8 Sb 2.97-3.24, 4 Li 3.24
Sb 0.0000 0.2500 0.8750 [4 per cell]  8 Li 2.97-3.24, 4 Sb 3.24

***

# 8
Density functional theory data (GGA-PBE) for Li2Sb3 after structural relaxation.

Results
ρ: 5.22 Mg/m³
DFT total energy: -3.4103 eV per atom
M_tot: 0.00 μB per atom

Lattice parameters (Å, degrees): 3.6216 3.6216 31.8379 90.00 90.00 120.00
Closest atoms and distances in Å follow each position.
Space group R-3m (No. 166, hexagonal axes)
Symmetry-distinct sites (fractional):
Li 0.0000 0.0000 0.1030 [6 per cell]  6 Sb 2.91-3.05
Sb 0.0000 0.0000 0.3003 [6 per cell]  3 Sb 2.97, 3 Li 3.05
Sb 0.0000 0.0000 0.5000 [3 per cell]  6 Li 2.91

***

# 9
Density functional theory data (GGA-PBE) for Li2Sb after structural relaxation.

Results
ρ: 3.80 Mg/m³
DFT total energy: -3.1629 eV per atom
M_tot: 0.00 μB per atom

Lattice parameters (Å, degrees): 4.5745 4.5745 3.2692 90.00 90.00 120.00
Closest atoms and distances in Å follow each position.
Space group P-3m1 (No. 164)
Symmetry-distinct sites (fractional):
Li 0.3333 0.6667 0.1697 [2 per cell]  3 Sb 2.85, 3 Li 2.86
Sb 0.0000 0.0000 0.5000 [1 per cell]  6 Li 2.85

***

# 10
Density functional theory data (GGA-PBE) for Li3Sb2 after structural relaxation.

Results
ρ: 4.18 Mg/m³
DFT total energy: -3.2106 eV per atom
M_tot: 0.00 μB per atom

Lattice parameters (Å, degrees): 9.8449 15.2677 5.5862 90.00 90.00 90.00
Closest atoms and distances in Å follow each position.
Space group Fdd2 (No. 43)
Symmetry-distinct sites (fractional):
Li 0.0000 0.0000 0.0000 [8 per cell]  6 Sb 2.87-3.20, 2 Li 3.08
Li 0.0312 0.4034 0.9800 [16 per cell]  5 Li 2.96-3.27, 5 Sb 2.97-3.11
Sb 0.0145 0.2910 0.5313 [16 per cell]  8 Li 2.87-3.20, 2 Sb 3.07

***

# 11
Density functional theory data (GGA-PBE) for Li2Sb after structural relaxation.

Results
ρ: 3.78 Mg/m³
DFT total energy: -3.2110 eV per atom
M_tot: 0.00 μB per atom

Lattice parameters (Å, degrees): 7.8923 7.8923 3.3184 90.00 90.00 120.00
Closest atoms and distances in Å follow each position.
Space group P-62m (No. 189)
Symmetry-distinct sites (fractional):
Li 0.0000 0.2888 0.0000 [3 per cell]  4 Sb 2.82, 6 Li 3.14-3.16
Li 0.0000 0.6289 0.5000 [3 per cell]  5 Sb 2.93-3.00, 6 Li 3.14-3.16
Sb 0.0000 0.0000 0.5000 [1 per cell]  9 Li 2.82-2.93
Sb 0.3333 0.6667 0.0000 [2 per cell]  9 Li 2.82-3.00

***

# 12
Density functional theory data (GGA-PBE) for Li6Sb after structural relaxation.

Results
ρ: 1.71 Mg/m³
DFT total energy: -1.8410 eV per atom
M_tot: 0.00 μB per atom

Lattice parameters (Å, degrees): 6.8221 6.8221 6.8221 90.00 90.00 90.00
Closest atoms and distances in Å follow each position.
Space group Im-3m (No. 229)
Symmetry-distinct sites (fractional):
Li 0.0000 0.2500 0.5000 [12 per cell]  4 Li 2.41
Sb 0.0000 0.0000 0.0000 [2 per cell]  24 Li 3.81

***

# 13
Density functional theory data (GGA-PBE) for LiScSb after structural relaxation.

Results
ρ: 3.91 Mg/m³
DFT total energy: -4.6998 eV per atom
M_tot: 0.00 μB per atom

Lattice parameters (Å, degrees): 6.6593 6.6593 6.6593 90.00 90.00 90.00
Closest atoms and distances in Å follow each position.
Space group F-43m (No. 216)
Symmetry-distinct sites (fractional):
Li 0.0000 0.0000 0.0000 [4 per cell]  4 Sb 2.88
Sc 0.0000 0.0000 0.5000 [4 per cell]  4 Sb 2.88
Sb 0.2500 0.2500 0.2500 [4 per cell]  4 Li 2.88, 4 Sc 2.88

***

# 14
Density functional theory data (GGA-PBE) for LiSc2Sb after structural relaxation.

Results
ρ: 4.23 Mg/m³
DFT total energy: -4.8313 eV per atom
M_tot: 0.52 μB per atom

Lattice parameters (Å, degrees): 7.0043 7.0043 7.0043 90.00 90.00 90.00
Closest atoms and distances in Å follow each position.
Space group F-43m (No. 216)
Symmetry-distinct sites (fractional):
Li 0.0000 0.0000 0.0000 [4 per cell]  4 Sb 3.03, 4 Sc 3.03
Sc 0.0000 0.0000 0.5000 [4 per cell]  4 Sb 3.03, 4 Sc 3.03
Sc 0.2500 0.2500 0.7500 [4 per cell]  4 Li 3.03, 4 Sc 3.03
Sb 0.2500 0.2500 0.2500 [4 per cell]  4 Li 3.03, 4 Sc 3.03

***

# 15
Density functional theory data (GGA-PBE) for LiSc2Sb after structural relaxation.

Results
ρ: 4.12 Mg/m³
DFT total energy: -5.1313 eV per atom
M_tot: 0.00 μB per atom

Lattice parameters (Å, degrees): 4.1539 3.9194 10.8191 90.00 90.00 90.00
Closest atoms and distances in Å follow each position.
Space group Amm2 (No. 38)
Symmetry-distinct sites (fractional):
Li 0.0000 0.0000 0.0000 [2 per cell]  2 Sb 2.63, 1 Sc 2.93
Sc 0.0000 0.0000 0.7290 [2 per cell]  3 Li 2.93-3.16, 4 Sb 2.99
Sc 0.5000 0.0000 0.4267 [2 per cell]  4 Li 2.96, 3 Sb 3.01-3.10
Sb 0.5000 0.0000 0.1485 [2 per cell]  2 Li 2.63

***

# 16
Density functional theory data (GGA-PBE) for LiSc2Sb after structural relaxation.

Results
ρ: 3.79 Mg/m³
DFT total energy: -4.7701 eV per atom
M_tot: 0.37 μB per atom

Lattice parameters (Å, degrees): 3.3886 3.3886 28.8831 90.00 90.00 120.00
Closest atoms and distances in Å follow each position.
Space group R-3m (No. 166, hexagonal axes)
Symmetry-distinct sites (fractional):
Li 0.0000 0.0000 0.0000 [3 per cell]  6 Sc 3.16, 6 Li 3.39
Sc 0.0000 0.0000 0.2473 [6 per cell]  3 Sb 3.04, 3 Li 3.16, 6 Sc 3.39
Sb 0.0000 0.0000 0.5000 [3 per cell]  6 Sc 3.04, 6 Sb 3.39

***

# 17
Density functional theory data (GGA-PBE) for LiSc2Sb after structural relaxation.

Results
ρ: 4.18 Mg/m³
DFT total energy: -5.0953 eV per atom
M_tot: 0.00 μB per atom

Lattice parameters (Å, degrees): 4.1779 4.1779 9.9585 90.00 90.00 90.00
Closest atoms and distances in Å follow each position.
Space group I-4m2 (No. 119)
Symmetry-distinct sites (fractional):
Li 0.0000 0.0000 0.0000 [2 per cell]  8 Sc 2.95-3.25, 4 Sb 3.25
Sc 0.0000 0.0000 0.5000 [2 per cell]  4 Li 2.95, 4 Sb 3.25, 4 Sc 3.25
Sc 0.0000 0.5000 0.2500 [2 per cell]  4 Sb 2.95, 4 Li 3.25, 4 Sc 3.25
Sb 0.0000 0.5000 0.7500 [2 per cell]  8 Sc 2.95-3.25, 4 Li 3.25

***

# 18
Density functional theory data (GGA-PBE) for LiSc2Sb2 after structural relaxation.

Results
ρ: 4.68 Mg/m³
DFT total energy: -5.1253 eV per atom
M_tot: 0.18 μB per atom

Lattice parameters (Å, degrees): 8.1078 8.1078 3.6713 90.00 90.00 90.00
Closest atoms and distances in Å follow each position.
Space group P4/mbm (No. 127)
Symmetry-distinct sites (fractional):
Li 0.0000 0.0000 0.0000 [2 per cell]  4 Sc 3.16, 8 Sb 3.53
Sc 0.1331 0.3669 0.0000 [4 per cell]  6 Sb 2.93-3.06, 1 Sc 3.05, 2 Li 3.16
Sb 0.1673 0.6673 0.5000 [4 per cell]  6 Sc 2.93-3.06

***

# 19
Density functional theory data (GGA-PBE) for LiScSb after structural relaxation.

Results
ρ: 4.43 Mg/m³
DFT total energy: -4.7612 eV per atom
M_tot: 0.00 μB per atom

Lattice parameters (Å, degrees): 4.5745 4.5745 7.1910 90.00 90.00 120.00
Closest atoms and distances in Å follow each position.
Space group P3m1 (No. 156)
Symmetry-distinct sites (fractional):
Li 0.0000 0.0000 0.0000 [1 per cell]  3 Li 2.73, 3 Sb 2.95
Li 0.3333 0.6667 0.9035 [1 per cell]  3 Sb 2.71, 3 Li 2.73
Sc 0.0000 0.0000 0.5632 [1 per cell]  6 Sb 2.98-3.21, 1 Li 3.14
Sc 0.6667 0.3333 0.2262 [1 per cell]  4 Sb 2.84-2.94, 3 Li 3.10
Sb 0.3333 0.6667 0.3706 [1 per cell]  6 Sc 2.84-2.98
Sb 0.6667 0.3333 0.8179 [1 per cell]  6 Li 2.71-2.95, 1 Sc 2.94

***

# 20
Density functional theory data (GGA-PBE) for LiScSb after structural relaxation.

Results
ρ: 4.56 Mg/m³
DFT total energy: -4.8737 eV per atom
M_tot: 0.00 μB per atom

Lattice parameters (Å, degrees): 4.0691 4.0691 7.6323 90.00 90.00 90.00
Closest atoms and distances in Å follow each position.
Space group P4/nmm (No. 129, origin choice 2)
Symmetry-distinct sites (fractional):
Li 0.2500 0.7500 0.0000 [2 per cell]  4 Sb 2.80, 4 Li 2.88
Sc 0.2500 0.2500 0.3633 [2 per cell]  5 Sb 2.94-3.00
Sb 0.2500 0.2500 0.7479 [2 per cell]  4 Li 2.80, 5 Sc 2.94-3.00